# 1
Compound: Mg3Zr2Cu4
Source: Alexandria
Functional: PBE
Structure: optimized geometry

Unit cell a=4.5342 b=4.5335 c=8.6044 alpha=90.01 beta=90.00 gamma=59.99
Closest atoms and distances in Å follow each position.
Fractional positions:
1 Zr 0.3333 0.3333 0.7918  7 Cu 2.68-2.89
2 Cu 0.0000 0.0000 0.3504  1 Cu 2.57, 3 Mg 2.69
3 Mg 0.3333 0.3334 0.4218  4 Cu 2.69-2.74, 3 Mg 2.94
4 Mg 0.6667 0.6666 0.5782  4 Cu 2.69-2.74, 3 Mg 2.94
5 Zr 0.6667 0.6667 0.2082  7 Cu 2.68-2.89
6 Cu 0.6667 0.6666 0.8963  4 Zr 2.68-2.77, 4 Mg 2.74-2.77
7 Mg 0.0000 0.0000 0.0000  8 Cu 2.77-3.01
8 Cu 0.0000 0.0000 0.6496  1 Cu 2.57, 3 Mg 2.69
9 Cu 0.3333 0.3334 0.1037  4 Zr 2.68-2.77, 4 Mg 2.74-2.77

Summary:
Total DFT energy (no corrections), eV/cell: -39.155
Formation energy, eV/atom: -0.10
Size of the total moment, μB per formula unit: 0.00

# 2
Compound: MgZr2Cu
Source: Alexandria
Functional: PBE
Structure: optimized geometry

Unit cell a=9.3602 b=9.3602 c=9.3602 alpha=19.94 beta=19.94 gamma=19.94
Closest atoms and distances in Å follow each position.
Fractional positions:
1 Cu 0.5001 0.5001 0.5001  3 Mg 2.74, 3 Zr 2.78
2 Mg 0.7605 0.7605 0.7605  3 Cu 2.74
3 Zr 0.2416 0.2416 0.2416  3 Cu 2.78, 3 Zr 3.10
4 Zr 0.9978 0.9978 0.9978  9 Zr 3.10-3.24, 3 Mg 3.24

Summary:
Total DFT energy (no corrections), eV/cell: -22.468
Formation energy, eV/atom: 0.08
Size of the total moment, μB per formula unit: 0.00

# 3
Compound: MgZr2Cu
Source: Alexandria
Functional: PBE
Structure: optimized geometry

Unit cell a=4.4688 b=4.4688 c=5.4577 alpha=65.83 beta=65.83 gamma=60.00
Closest atoms and distances in Å follow each position.
Fractional positions:
1 Cu 0.8073 0.8073 0.5782  3 Mg 2.60, 3 Zr 2.83
2 Zr 0.0182 0.0182 0.9453  4 Zr 2.94-3.19, 3 Mg 2.96, 4 Cu 3.04-3.13
3 Zr 0.2218 0.2218 0.3346  3 Cu 2.83, 1 Zr 2.94, 3 Mg 2.97
4 Mg 0.4527 0.4527 0.6419  3 Cu 2.60

Summary:
Total DFT energy (no corrections), eV/cell: -21.753
Formation energy, eV/atom: 0.26
Size of the total moment, μB per formula unit: 0.00